Version i
Here is a relaxed structure of AlSb2SI from Alexandria via LeMat-Bulk. Energies are from PBE.

For the density of states at the Fermi level, the calculation gives 3.3 states/eV per cell.

The space group is P4/mmm (No. 123) and the conventional cell measures 5.256, 5.256 and 5.626 Å, with angles of 90.00, 90.00 and 90.00 degrees. Symmetry generates all atoms from Al at (0.000, 0.000, 0.000), Sb at (0.000, 0.500, 0.500), S at (0.500, 0.500, 0.500) and I at (0.500, 0.500, 0.000).

=====

Version ii
Here is a relaxed structure of AlSb2SI from Alexandria via LeMat-Bulk. Energies are from PBE.

For the density of states at the Fermi level, the calculation gives 4.4 states/eV per cell.

The space group is P4/mmm (No. 123) and the conventional cell measures 5.378, 5.378 and 5.198 Å, with angles of 90.00, 90.00 and 90.00 degrees. Symmetry generates all atoms from Al at (0.000, 0.000, 0.000), Sb at (0.000, 0.500, 0.000), S at (0.500, 0.500, 0.500) and I at (0.000, 0.000, 0.500).

=====

Relative energies, unit meV/atom: version i 0; version ii 32

=====

Version i
Here is a relaxed structure of AlTeSI2 from Alexandria via LeMat-Bulk. Energies are from PBE.

For the density of states at the Fermi level, the calculation gives 4.7 states/eV per cell.

The space group is P4/mmm (No. 123) and the conventional cell measures 5.386, 5.386 and 5.617 Å, with angles of 90.00, 90.00 and 90.00 degrees. Symmetry generates all atoms from Al at (0.000, 0.000, 0.000), Te at (0.000, 0.000, 0.500), S at (0.500, 0.500, 0.500) and I at (0.000, 0.500, 0.000).

=====

Version ii
Here is a relaxed structure of AlTeSI2 from Alexandria via LeMat-Bulk. Energies are from PBE.

For the density of states at the Fermi level, the calculation gives 6.2 states/eV per cell.

The space group is P4/mmm (No. 123) and the conventional cell measures 5.607, 5.607 and 5.380 Å, with angles of 90.00, 90.00 and 90.00 degrees. Symmetry generates all atoms from Al at (0.000, 0.000, 0.000), Te at (0.500, 0.500, 0.000), S at (0.500, 0.500, 0.500) and I at (0.000, 0.500, 0.500).

=====

Relative energies, unit meV/atom: version i 32; version ii 0

=====

Version i
Here is a relaxed structure of AlTe2SI from Alexandria via LeMat-Bulk. Energies are from PBE.

For the density of states at the Fermi level, the calculation gives 6.4 states/eV per cell.

The space group is P4/mmm (No. 123) and the conventional cell measures 5.318, 5.318 and 5.625 Å, with angles of 90.00, 90.00 and 90.00 degrees. Symmetry generates all atoms from Al at (0.000, 0.000, 0.000), Te at (0.000, 0.500, 0.500), S at (0.500, 0.500, 0.500) and I at (0.500, 0.500, 0.000).

=====

Version ii
Here is a relaxed structure of AlTe2SI from Alexandria via LeMat-Bulk. Energies are from PBE.

For the density of states at the Fermi level, the calculation gives 3.9 states/eV per cell.

The space group is P4/mmm (No. 123) and the conventional cell measures 5.396, 5.396 and 5.218 Å, with angles of 90.00, 90.00 and 90.00 degrees. Symmetry generates all atoms from Al at (0.000, 0.000, 0.000), Te at (0.000, 0.500, 0.000), S at (0.500, 0.500, 0.500) and I at (0.000, 0.000, 0.500).

=====

Relative energies, unit meV/atom: version i 0; version ii 75

=====

Version i
Here is a relaxed structure of Al2SbI from Alexandria via LeMat-Bulk. Energies are from PBE.

For the density of states at the Fermi level, the calculation gives 6.5 states/eV per cell.

The space group is Fm-3m (No. 225) and the conventional cell measures 7.373, 7.373 and 7.373 Å, with angles of 90.00, 90.00 and 90.00 degrees. Symmetry generates all atoms from Al at (0.250, 0.250, 0.250), Sb at (0.000, 0.000, 0.000) and I at (0.000, 0.000, 0.500).

=====

Version ii
Here is a relaxed structure of Al2SbI from Alexandria via LeMat-Bulk. Energies are from PBE.

For the density of states at the Fermi level, the calculation gives 6.1 states/eV per cell.

The space group is I-42d (No. 122) and the conventional cell measures 7.524, 7.524 and 8.662 Å, with angles of 90.00, 90.00 and 90.00 degrees. Symmetry generates all atoms from Al at (0.220, 0.250, 0.125), Sb at (0.000, 0.000, 0.000) and I at (0.000, 0.000, 0.500).

=====

Relative energies, unit meV/atom: version i 66; version ii 0

=====

Version i
Here is a relaxed structure of AlSbI2 from Alexandria via LeMat-Bulk. Energies are from PBE.

For the density of states at the Fermi level, the calculation gives 9.7 states/eV per cell.

The space group is I-42d (No. 122) and the conventional cell measures 5.457, 5.457 and 19.973 Å, with angles of 90.00, 90.00 and 90.00 degrees. Symmetry generates all atoms from Al at (0.000, 0.000, 0.000), Sb at (0.000, 0.000, 0.500) and I at (0.245, 0.250, 0.625).

=====

Version ii
Here is a relaxed structure of AlSbI2 from Alexandria via LeMat-Bulk. Energies are from PBE.

For the density of states at the Fermi level, the calculation gives 19.7 states/eV per cell.

The space group is Fm-3m (No. 225) and the conventional cell measures 7.843, 7.843 and 7.843 Å, with angles of 90.00, 90.00 and 90.00 degrees. Symmetry generates all atoms from Al at (0.000, 0.000, 0.000), Sb at (0.000, 0.000, 0.500) and I at (0.250, 0.250, 0.250).

=====

Relative energies, unit meV/atom: version i 0; version ii 40

=====

Version i
Here is a relaxed structure of ScAlSb2I from Alexandria via LeMat-Bulk. Energies are from PBE.

For the density of states at the Fermi level, the calculation gives 4.2 states/eV per cell.

The space group is P4/mmm (No. 123) and the conventional cell measures 5.253, 5.253 and 5.526 Å, with angles of 90.00, 90.00 and 90.00 degrees. Symmetry generates all atoms from Sc at (0.000, 0.000, 0.000), Al at (0.500, 0.500, 0.500), Sb at (0.000, 0.500, 0.500) and I at (0.500, 0.500, 0.000).

=====

Version ii
Here is a relaxed structure of ScAlSb2I from Alexandria via LeMat-Bulk. Energies are from PBE.

For the density of states at the Fermi level, the calculation gives 3.9 states/eV per cell.

The space group is P4/mmm (No. 123) and the conventional cell measures 5.530, 5.530 and 5.762 Å, with angles of 90.00, 90.00 and 90.00 degrees. Symmetry generates all atoms from Sc at (0.000, 0.000, 0.000), Al at (0.500, 0.500, 0.500), Sb at (0.000, 0.500, 0.000) and I at (0.000, 0.000, 0.500).

=====

Relative energies, unit meV/atom: version i 138; version ii 0

=====

Version i
Here is a relaxed structure of AlSnSbI2 from Alexandria via LeMat-Bulk. Energies are from PBE.

For the density of states at the Fermi level, the calculation gives 4.1 states/eV per cell.

The space group is P4/mmm (No. 123) and the conventional cell measures 5.463, 5.463 and 5.592 Å, with angles of 90.00, 90.00 and 90.00 degrees. Symmetry generates all atoms from Al at (0.000, 0.000, 0.000), Sn at (0.500, 0.500, 0.500), Sb at (0.000, 0.000, 0.500) and I at (0.000, 0.500, 0.000).

=====

Version ii
Here is a relaxed structure of AlSnSbI2 from Alexandria via LeMat-Bulk. Energies are from PBE.

For the density of states at the Fermi level, the calculation gives 3.7 states/eV per cell.

The space group is P4/mmm (No. 123) and the conventional cell measures 6.108, 6.108 and 5.887 Å, with angles of 90.00, 90.00 and 90.00 degrees. Symmetry generates all atoms from Al at (0.000, 0.000, 0.000), Sn at (0.500, 0.500, 0.500), Sb at (0.500, 0.500, 0.000) and I at (0.000, 0.500, 0.500).

=====

Relative energies, unit meV/atom: version i 0; version ii 194

=====

Version i
Here is a relaxed structure of AlSbTeI2 from Alexandria via LeMat-Bulk. Energies are from PBE.

For the density of states at the Fermi level, the calculation gives 4.1 states/eV per cell.

The space group is P4/mmm (No. 123) and the conventional cell measures 6.167, 6.167 and 5.790 Å, with angles of 90.00, 90.00 and 90.00 degrees. Symmetry generates all atoms from Al at (0.000, 0.000, 0.000), Sb at (0.500, 0.500, 0.000), Te at (0.500, 0.500, 0.500) and I at (0.000, 0.500, 0.500).

=====

Version ii
Here is a relaxed structure of AlSbTeI2 from Alexandria via LeMat-Bulk. Energies are from PBE.

For the density of states at the Fermi level, the calculation gives 2.8 states/eV per cell.

The space group is P4/mmm (No. 123) and the conventional cell measures 5.314, 5.314 and 5.872 Å, with angles of 90.00, 90.00 and 90.00 degrees. Symmetry generates all atoms from Al at (0.000, 0.000, 0.000), Sb at (0.000, 0.000, 0.500), Te at (0.500, 0.500, 0.500) and I at (0.000, 0.500, 0.000).

=====

Version iii
Here is a relaxed structure of AlSbTeI2 from Alexandria via LeMat-Bulk. Energies are from PBE.

For the density of states at the Fermi level, the calculation gives 1.6 states/eV per cell.

The space group is P4/mmm (No. 123) and the conventional cell measures 6.058, 6.058 and 5.802 Å, with angles of 90.00, 90.00 and 90.00 degrees. Symmetry generates all atoms from Al at (0.000, 0.000, 0.000), Sb at (0.500, 0.500, 0.500), Te at (0.500, 0.500, 0.000) and I at (0.000, 0.500, 0.500).

=====

Relative energies, unit meV/atom: version i 305; version ii 28; version iii 0

=====

Version i
Here is a relaxed structure of TiAlSb2I from Alexandria via LeMat-Bulk. Energies are from PBE.

For the density of states at the Fermi level, the calculation gives 3.0 states/eV per cell.

The space group is P4/mmm (No. 123) and the conventional cell measures 5.207, 5.207 and 6.013 Å, with angles of 90.00, 90.00 and 90.00 degrees. Symmetry generates all atoms from Ti at (0.000, 0.000, 0.000), Al at (0.500, 0.500, 0.500), Sb at (0.000, 0.500, 0.000) and I at (0.000, 0.000, 0.500).

=====

Version ii
Here is a relaxed structure of TiAlSb2I from Alexandria via LeMat-Bulk. Energies are from PBE.

For the density of states at the Fermi level, the calculation gives 5.6 states/eV per cell.

The space group is P4/mmm (No. 123) and the conventional cell measures 5.237, 5.237 and 5.563 Å, with angles of 90.00, 90.00 and 90.00 degrees. Symmetry generates all atoms from Ti at (0.000, 0.000, 0.000), Al at (0.500, 0.500, 0.500), Sb at (0.000, 0.500, 0.500) and I at (0.500, 0.500, 0.000).

=====

Relative energies, unit meV/atom: version i 0; version ii 433

=====

Version i
Here is a relaxed structure of AlTlSb2I from Alexandria via LeMat-Bulk. Energies are from PBE.

For the density of states at the Fermi level, the calculation gives 4.6 states/eV per cell.

The space group is P4/mmm (No. 123) and the conventional cell measures 5.697, 5.697 and 6.460 Å, with angles of 90.00, 90.00 and 90.00 degrees. Symmetry generates all atoms from Al at (0.000, 0.000, 0.000), Tl at (0.500, 0.500, 0.500), Sb at (0.000, 0.500, 0.500) and I at (0.500, 0.500, 0.000).

=====

Version ii
Here is a relaxed structure of AlTlSb2I from Alexandria via LeMat-Bulk. Energies are from PBE.

For the density of states at the Fermi level, the calculation gives 3.8 states/eV per cell.

The space group is P4/mmm (No. 123) and the conventional cell measures 5.339, 5.339 and 5.904 Å, with angles of 90.00, 90.00 and 90.00 degrees. Symmetry generates all atoms from Al at (0.000, 0.000, 0.000), Tl at (0.500, 0.500, 0.500), Sb at (0.000, 0.500, 0.000) and I at (0.000, 0.000, 0.500).

=====

Relative energies, unit meV/atom: version i 583; version ii 0

=====

Version i
Here is a relaxed structure of AlVSbI2 from Alexandria via LeMat-Bulk. Energies are from PBE.

For the density of states at the Fermi level, the calculation gives 3.9 states/eV per cell.

The space group is P4/mmm (No. 123) and the conventional cell measures 5.610, 5.610 and 5.250 Å, with angles of 90.00, 90.00 and 90.00 degrees. Symmetry generates all atoms from Al at (0.000, 0.000, 0.000), V at (0.500, 0.500, 0.500), Sb at (0.500, 0.500, 0.000) and I at (0.000, 0.500, 0.500).

=====

Version ii
Here is a relaxed structure of AlVSbI2 from Alexandria via LeMat-Bulk. Energies are from PBE.

For the density of states at the Fermi level, the calculation gives 7.7 states/eV per cell.

The space group is P4/mmm (No. 123) and the conventional cell measures 5.422, 5.422 and 5.435 Å, with angles of 90.00, 90.00 and 90.00 degrees. Symmetry generates all atoms from Al at (0.000, 0.000, 0.000), V at (0.500, 0.500, 0.500), Sb at (0.000, 0.000, 0.500) and I at (0.000, 0.500, 0.000).

=====

Relative energies, unit meV/atom: version i 0; version ii 635

=====

Version i
Here is a relaxed structure of AlVSb2I from Alexandria via LeMat-Bulk. Energies are from PBE.

For the density of states at the Fermi level, the calculation gives 3.4 states/eV per cell.

The space group is P4/mmm (No. 123) and the conventional cell measures 5.073, 5.073 and 6.019 Å, with angles of 90.00, 90.00 and 90.00 degrees. Symmetry generates all atoms from Al at (0.000, 0.000, 0.000), V at (0.500, 0.500, 0.500), Sb at (0.000, 0.500, 0.500) and I at (0.500, 0.500, 0.000).

=====

Version ii
Here is a relaxed structure of AlVSb2I from Alexandria via LeMat-Bulk. Energies are from PBE.

For the density of states at the Fermi level, the calculation gives 5.8 states/eV per cell.

The space group is P4/mmm (No. 123) and the conventional cell measures 5.230, 5.230 and 5.559 Å, with angles of 90.00, 90.00 and 90.00 degrees. Symmetry generates all atoms from Al at (0.000, 0.000, 0.000), V at (0.500, 0.500, 0.500), Sb at (0.000, 0.500, 0.000) and I at (0.000, 0.000, 0.500).

=====

Relative energies, unit meV/atom: version i 0; version ii 424